# ZnFeHg2 PBE relaxed
data_ZnFeHg2
_chemical_formula_sum 'Zn3 Fe3 Hg6'
_cell_length_a 2.9840
_cell_length_b 2.9840
_cell_length_c 29.3100
_cell_angle_alpha 90.00
_cell_angle_beta 90.00
_cell_angle_gamma 120.00
_space_group_name_H-M_alt 'R 3 m'
_space_group_IT_number 160
_space_group_name_Hall 'R 3 -2"'
loop_
_atom_site_label
_atom_site_type_symbol
_atom_site_fract_x
_atom_site_fract_y
_atom_site_fract_z
Zn1 Zn 0.0000 0.0000 0.0000
Fe1 Fe 0.0000 0.0000 0.7319
Hg1 Hg 0.0000 0.0000 0.2447
Hg2 Hg 0.0000 0.0000 0.4756
# * calculated formation energy: 7.326 kcal/mol of atoms
# * calculated total energy: -2.27 eV per atom
# * spin magnetization: 0.652 μB/atom

# AgAsIr PBE relaxed
data_AgAsIr
_chemical_formula_sum 'Ag1 As1 Ir1'
_cell_length_a 4.1800
_cell_length_b 4.1800
_cell_length_c 3.4459
_cell_angle_alpha 90.00
_cell_angle_beta 90.00
_cell_angle_gamma 120.00
_space_group_name_H-M_alt 'P -6 m 2'
_space_group_IT_number 187
_space_group_name_Hall 'P -6 2'
loop_
_atom_site_label
_atom_site_type_symbol
_atom_site_fract_x
_atom_site_fract_y
_atom_site_fract_z
Ag1 Ag 0.0000 0.0000 0.0000
As1 As 0.6667 0.3333 0.5000
Ir1 Ir 0.3333 0.6667 0.5000
# * calculated formation energy: 3.595 kcal/mol of atoms
# * calculated total energy: -5.30 eV per atom
# * offset from the most stable computed form: 145 meV/atom
# * spin magnetization: 0.000 μB/atom

# TaTl3Cl7 PBE relaxed
data_TaTl3Cl7
_chemical_formula_sum 'Ta4 Tl12 Cl28'
_cell_length_a 10.299
_cell_length_b 15.018
_cell_length_c 9.594
_cell_angle_alpha 90.00
_cell_angle_beta 90.00
_cell_angle_gamma 90.00
_space_group_name_H-M_alt 'C 2 2 21'
_space_group_IT_number 20
_space_group_name_Hall 'C 2c 2'
loop_
_atom_site_label
_atom_site_type_symbol
_atom_site_fract_x
_atom_site_fract_y
_atom_site_fract_z
Ta1 Ta 0.000 0.000 0.000
Tl1 Tl 0.001 0.500 0.000
Tl2 Tl 0.233 0.228 0.750
Cl1 Cl 0.000 0.042 0.750
Cl2 Cl 0.000 0.356 0.750
Cl3 Cl 0.000 0.360 0.250
Cl4 Cl 0.165 0.109 0.038
Cl5 Cl 0.165 0.109 0.463
# * calculated total energy: -3.99 eV per atom
# * formation energy (no corrections): -1.09 eV per atom
# * spin magnetization: 0.091 μB/atom

# Ho3Bi5Se12 PBE relaxed
data_Ho3Bi5Se12
_chemical_formula_sum 'Ho24 Bi40 Se96'
_cell_length_a 17.106
_cell_length_b 17.106
_cell_length_c 17.106
_cell_angle_alpha 90.00
_cell_angle_beta 90.00
_cell_angle_gamma 90.00
_space_group_name_H-M_alt 'I a -3 d'
_space_group_IT_number 230
_space_group_name_Hall '-I 4bd 2c 3'
loop_
_atom_site_label
_atom_site_type_symbol
_atom_site_fract_x
_atom_site_fract_y
_atom_site_fract_z
Ho1 Ho 0.000 0.250 0.125
Bi1 Bi 0.000 0.000 0.000
Bi2 Bi 0.000 0.250 0.375
Se1 Se 0.013 0.072 0.655
# * calculated total energy: -4.48 eV per atom
# * formation energy (no corrections): -0.74 eV per atom
# * spin magnetization: 0.000 μB/atom